Record 1
Density functional theory data (PBE) for ThFe2 after structural relaxation.

Summary:
ρ = 10.4 g/cm3
DFT formation energy = 0.238 eV/atom
E_tot = -7.8771 eV per atom

Lattice parameters (Å, degrees): 3.2139 3.2139 5.7602 106.20 106.20 90.00
Last column: nearest neighbours and their distance in Å.
Element x y z (fractional)
Fe (0.7014, 0.7014, 0.4028)  4 Fe 2.49
Fe (0.2986, 0.2986, 0.5972)  4 Fe 2.49
Th (0.0000, 0.0000, 0.0000)  10 Fe 3.12-3.16, 4 Th 3.21

Record 2
Density functional theory data (PBE) for NaLaSe2Cl after structural relaxation.

Summary:
formation energy without anion corrections = -0.608 eV/atom
ρ = 4.2 g/cm3
E_tot = -3.6206 eV per atom

Lattice parameters (Å, degrees): 5.6073 4.4767 5.6073 90.00 90.00 90.00
Last column: nearest neighbours and their distance in Å.
Element x y z (fractional)
Cl (0.0000, 0.0000, 0.0000)  2 Na 2.24
Na (0.0000, 0.5000, 0.0000)  2 Cl 2.24
Se (0.5000, 0.0000, 0.0000)  2 Cl 2.80
Se (0.0000, 0.0000, 0.5000)  2 Cl 2.80
La (0.5000, 0.5000, 0.5000)  8 Se 3.59, 4 Na 3.96

Record 3
Density functional theory data (PBE) for KYAu2 after structural relaxation.

Summary:
ρ = 7.0 g/cm3
DFT formation energy = -0.170 eV/atom
energy above the lowest structure with this stoichiometry = 411 meV per atom
E_tot = -3.6987 eV per atom

Lattice parameters (Å, degrees): 8.1374 8.1374 6.8676 53.67 53.67 90.00
Last column: nearest neighbours and their distance in Å.
Element x y z (fractional)
Y (0.0000, 0.0000, 0.0000)  4 Au 2.84
Y (0.7500, 0.2500, 0.5000)  4 Au 2.84
K (0.2500, 0.7500, 0.5000)  4 Au 3.23
K (0.5000, 0.5000, 0.0000)  4 Au 3.23
Au (0.6613, 0.1250, 0.2500)  2 Y 2.84
Au (0.0887, 0.6250, 0.2500)  2 Y 2.84
Au (0.3750, 0.3387, 0.7500)  2 Y 2.84
Au (0.8750, 0.9113, 0.7500)  2 Y 2.84

Record 4
Density functional theory data (PBE) for CuAgGePt after structural relaxation.

Summary:
ρ = 11.8 g/cm3
DFT formation energy = -0.045 eV/atom
E_tot = -4.4461 eV per atom

Lattice parameters (Å, degrees): 4.4408 4.4408 4.4408 60.00 60.00 60.00
Last column: nearest neighbours and their distance in Å.
Element x y z (fractional)
Pt (0.0000, 0.0000, 0.0000)  4 Ge 2.72, 4 Cu 2.72
Cu (0.7500, 0.7500, 0.7500)  4 Pt 2.72, 4 Ag 2.72
Ge (0.2500, 0.2500, 0.2500)  4 Ag 2.72, 4 Pt 2.72
Ag (0.5000, 0.5000, 0.5000)  4 Ge 2.72, 4 Cu 2.72